Entry 1:
Entry from the Alexandria database: an optimized crystal structure of Li2Cu6Ni3 (PBE-GGA).

Cell: 4.3243 4.3364 8.7223 Å, 84.76 79.44 60.09°
Site moments in Bohr magnetons follow the coordinates.
Element x y z (fractional)
Cu (0.2467, 0.0000, 0.2405)  0.00
Li (0.8348, 0.3303, 0.5000)  0.00
Ni (0.6672, 0.6656, 0.0000)  0.11
Li (0.1652, 0.6697, 0.5000)  0.00
Cu (0.5780, 0.3316, 0.2432)  0.00
Cu (0.9097, 0.6684, 0.2432)  0.00
Cu (0.7533, 0.0000, 0.7595)  0.00
Ni (0.3328, 0.3344, 0.0000)  0.11
Cu (0.0903, 0.3316, 0.7568)  0.00
Cu (0.4220, 0.6684, 0.7568)  0.00
Ni (0.0000, 0.0000, 0.0000)  0.11

Results
E: -0.3024 Ry/atom
total magnetic moment: 0.03 μB/atom
DFT formation energy: 45 meV/atom
density: 6806 kg/m3

---

Entry 2:
Entry from the Alexandria database: an optimized crystal structure of SrDy3Ir (PBE-GGA).

Cell: 5.5193 5.5193 5.5193 Å, 90.00 90.00 90.00°
Element x y z (fractional)
Dy (0.0000, 0.5000, 0.0000)
Dy (0.0000, 0.0000, 0.5000)
Sr (0.5000, 0.5000, 0.5000)
Dy (0.5000, 0.0000, 0.0000)
Ir (0.0000, 0.0000, 0.0000)

Results
E: -0.3824 Ry/atom
total magnetic moment: 0.00 μB/atom
DFT formation energy: -333 meV/atom
density: 7578 kg/m3

---

Entry 3:
Entry from the Alexandria database: an optimized crystal structure of Rb4Pr3HfSe8 (PBE-GGA).

Cell: 8.5659 9.4414 8.5667 Å, 117.00 120.00 90.00°
Element x y z (fractional)
Se (0.2636, 0.2909, 0.5271)
Se (0.2419, 0.3041, 0.0229)
Se (0.7364, 0.7091, 0.4729)
Rb (0.0000, 0.0000, 0.5000)
Rb (0.5000, 0.0000, 0.5000)
Se (0.7810, 0.3041, 0.0229)
Pr (0.5000, 0.5000, 0.0000)
Pr (0.5000, 0.5000, 0.5000)
Se (0.7581, 0.6959, 0.9771)
Pr (0.0000, 0.5000, 0.5000)
Se (0.2190, 0.6959, 0.9771)
Se (0.7809, 0.3040, 0.5618)
Rb (0.0000, 0.0000, 0.0000)
Hf (0.0000, 0.5000, 0.0000)
Se (0.2191, 0.6960, 0.4382)
Rb (0.5000, 0.0000, 0.0000)

Results
E: -0.3739 Ry/atom
total magnetic moment: 0.00 μB/atom
density: 5118 kg/m3
uncorrected formation energy: -1.584 eV/atom

---

Entry 4:
Entry from the Alexandria database: an optimized crystal structure of LaAsRhBr2 (PBE-GGA).

Cell: 4.9717 4.9717 5.0702 Å, 90.00 90.00 90.00°
Element x y z (fractional)
Br (0.0000, 0.5000, 0.0000)
Rh (0.0000, 0.0000, 0.0000)
As (0.0000, 0.0000, 0.5000)
La (0.5000, 0.5000, 0.5000)
Br (0.5000, 0.0000, 0.0000)

Results
E: -0.3403 Ry/atom
relative energy among the computed polymorphs: 0.00 eV/f.u.
total magnetic moment: 0.00 μB/atom
density: 6314 kg/m3
uncorrected formation energy: -0.575 eV/atom

---

> What is the formula in the first record?

Li2Cu6Ni3

---

> Look up the density of the third one.

5118 kg/m3

---

> total magnetic moment of number 4 (LaAsRhBr2)?

0.00 μB/atom